# LaY4Cd5 (PBE, relaxed)
data_LaY4Cd5
_symmetry_space_group_name_H-M 'P 4/m m m'
_symmetry_Int_Tables_number 123
_symmetry_space_group_name_Hall '-P 4 2'
_cell_length_a 3.766
_cell_length_b 3.766
_cell_length_c 19.158
_cell_angle_alpha 90.00
_cell_angle_beta 90.00
_cell_angle_gamma 90.00
loop_
_atom_site_label
_atom_site_fract_x
_atom_site_fract_y
_atom_site_fract_z
_atom_site_occupancy
La1 0.000 0.000 0.000 1
Y1 0.000 0.000 0.207 1
Y2 0.000 0.000 0.403 1
Cd1 0.500 0.500 0.113 1
Cd2 0.500 0.500 0.305 1
Cd3 0.500 0.500 0.500 1
# * DOS at the Fermi energy: 1.0944 states/eV per atom
# * total moment: 0.578 Bohr magnetons per cell
# * energy of formation from the pure elements: -345.9 meV per atom
# * mass density: 6.46 g/cm³